Model i:
Material: ZrAlCdCo
Method: DFT, PBE
State: optimized geometry

Output
Crystal system = cubic

Cell lengths 4.559, 4.559, 4.559 Å; angles 60.00, 60.00, 60.00 degrees
Fractional coordinates of all 4 atoms:
Zr  0.000  0.000  0.000
Al  0.500  0.500  0.500
Cd  0.250  0.250  0.250
Co  0.750  0.750  0.750

=====

Model ii:
Material: ZrAlCdCo
Method: DFT, PBE
State: optimized geometry

Output
Crystal system = cubic

Cell lengths 4.573, 4.573, 4.573 Å; angles 60.00, 60.00, 60.00 degrees
Fractional coordinates of all 4 atoms:
Zr  0.000  0.000  0.000
Al  0.250  0.250  0.250
Cd  0.750  0.750  0.750
Co  0.500  0.500  0.500

=====

Short version: model ii is the least stable of them.